Version 1
NiAs2IBr PBE-GGA relaxed; SG = P4/mmm
1.0
5.4580 0.0000 0.0000
0.0000 5.4580 0.0000
0.0000 0.0000 5.6324
Ni As I Br
1 2 1 1
Cartesian
0.0000 0.0000 0.0000
0.0000 2.7290 2.8162
2.7290 0.0000 2.8162
2.7290 2.7290 2.8162
2.7290 2.7290 0.0000



Version 2
NiAs2IBr PBE-GGA relaxed; SG = P4/mmm
1.0
4.8292 0.0000 0.0000
0.0000 4.8292 0.0000
0.0000 0.0000 4.8651
Ni As I Br
1 2 1 1
Cartesian
0.0000 0.0000 0.0000
0.0000 2.4146 0.0000
2.4146 0.0000 0.0000
2.4146 2.4146 2.4325
0.0000 0.0000 2.4325



Energetically preferred structure: version 2 | next structure: +1.168 eV/atom



Version 1
NiAsIBr2 PBE-GGA relaxed; SG = P4/mmm
1.0
5.2504 0.0000 0.0000
0.0000 5.2504 0.0000
0.0000 0.0000 5.7960
Ni As I Br
1 1 1 2
Cartesian
0.0000 0.0000 0.0000
2.6252 2.6252 2.8980
2.6252 2.6252 0.0000
0.0000 2.6252 2.8980
2.6252 0.0000 2.8980



Version 2
NiAsIBr2 PBE-GGA relaxed; SG = P4/mmm
1.0
4.8465 0.0000 0.0000
0.0000 4.8465 0.0000
0.0000 0.0000 5.0682
Ni As I Br
1 1 1 2
Cartesian
0.0000 0.0000 0.0000
0.0000 0.0000 2.5341
2.4232 2.4232 2.5341
0.0000 2.4232 0.0000
2.4232 0.0000 0.0000



Version 3
NiAsIBr2 PBE-GGA relaxed; SG = P4/mmm
1.0
5.7302 0.0000 0.0000
0.0000 5.7302 0.0000
0.0000 0.0000 5.6372
Ni As I Br
1 1 1 2
Cartesian
0.0000 0.0000 0.0000
2.8651 2.8651 0.0000
2.8651 2.8651 2.8186
0.0000 2.8651 2.8186
2.8651 0.0000 2.8186



Energetically preferred structure: version 2 | next structure: +0.330 eV/atom



Version 1
As2IBrO PBE-GGA relaxed; SG = P4/mmm
1.0
4.6870 0.0000 0.0000
0.0000 4.6870 0.0000
0.0000 0.0000 4.7783
As I Br O
2 1 1 1
Cartesian
0.0000 2.3435 0.0000
2.3435 0.0000 0.0000
0.0000 0.0000 2.3891
2.3435 2.3435 2.3891
2.3435 2.3435 0.0000



Version 2
As2IBrO PBE-GGA relaxed; SG = P4/mmm
1.0
5.6248 0.0000 0.0000
0.0000 5.6248 0.0000
0.0000 0.0000 5.6823
As I Br O
2 1 1 1
Cartesian
0.0000 2.8124 0.0000
2.8124 0.0000 0.0000
0.0000 0.0000 0.0000
0.0000 0.0000 2.8411
2.8124 2.8124 2.8411



Energetically preferred structure: version 1 | next structure: +0.962 eV/atom



Version 1
AsPIBr2 PBE-GGA relaxed; SG = P4/mmm
1.0
5.7543 0.0000 0.0000
0.0000 5.7543 0.0000
0.0000 0.0000 5.7572
As P I Br
1 1 1 2
Cartesian
0.0000 0.0000 0.0000
2.8772 2.8772 0.0000
0.0000 0.0000 2.8786
0.0000 2.8772 2.8786
2.8772 0.0000 2.8786



Version 2
AsPIBr2 PBE-GGA relaxed; SG = P4/mmm
1.0
4.9512 0.0000 0.0000
0.0000 4.9512 0.0000
0.0000 0.0000 5.4930
As P I Br
1 1 1 2
Cartesian
0.0000 0.0000 0.0000
0.0000 0.0000 2.7465
2.4756 2.4756 0.0000
0.0000 2.4756 2.7465
2.4756 0.0000 2.7465



Energetically preferred structure: version 2 | next structure: +0.713 eV/atom



Version 1
RbAs2IBr PBE-GGA relaxed; SG = P4/mmm
1.0
7.2789 0.0000 0.0000
0.0000 7.2789 0.0000
0.0000 0.0000 6.2139
Rb As I Br
1 2 1 1
Cartesian
0.0000 0.0000 0.0000
0.0000 3.6394 0.0000
3.6394 0.0000 0.0000
3.6394 3.6394 3.1069
0.0000 0.0000 3.1069



Version 2
RbAs2IBr PBE-GGA relaxed; SG = P4/mmm
1.0
5.3336 0.0000 0.0000
0.0000 5.3336 0.0000
0.0000 0.0000 7.8078
Rb As I Br
1 2 1 1
Cartesian
0.0000 0.0000 0.0000
0.0000 2.6668 3.9039
2.6668 0.0000 3.9039
2.6668 2.6668 3.9039
2.6668 2.6668 0.0000



Energetically preferred structure: version 2 | next structure: +0.584 eV/atom



Version 1
AsSeIBr2 PBE-GGA relaxed; SG = P4/mmm
1.0
5.7255 0.0000 0.0000
0.0000 5.7255 0.0000
0.0000 0.0000 5.7580
As Se I Br
1 1 1 2
Cartesian
0.0000 0.0000 0.0000
2.8628 2.8628 0.0000
0.0000 0.0000 2.8790
0.0000 2.8628 2.8790
2.8628 0.0000 2.8790



Version 2
AsSeIBr2 PBE-GGA relaxed; SG = P4/mmm
1.0
5.0787 0.0000 0.0000
0.0000 5.0787 0.0000
0.0000 0.0000 5.9252
As Se I Br
1 1 1 2
Cartesian
0.0000 0.0000 0.0000
0.0000 0.0000 2.9626
2.5393 2.5393 0.0000
0.0000 2.5393 2.9626
2.5393 0.0000 2.9626



Energetically preferred structure: version 2 | next structure: +0.448 eV/atom